Record 1
! PBE Pr12Nd5Er2, optimized geometry; values from VASP
! - ρ (kg/m³) = 6638
! - uncorrected energy (eV per atom) = -4.6251
! - spin magnetization (μB/f.u.) = 0.00
! - space-group type = C2/m
! - excess energy over the best structure of this formula in the dataset (eV/atom) = 0.000
&SYSTEM
  ibrav = 0, nat = 19, ntyp = 3
/
ATOMIC_SPECIES
Pr 140.91 Pr.upf
Nd 144.24 Nd.upf
Er 167.26 Er.upf
ATOMIC_POSITIONS angstrom
Pr 3.140 5.824 -2.059
Pr 3.597 1.636 5.331
Pr 5.083 7.835 3.983
Pr 3.864 5.046 6.242
Pr 2.145 3.172 0.620
Pr 2.411 6.582 1.532
Pr 0.926 0.384 2.879
Pr 2.868 2.395 8.921
Pr 0.183 1.636 6.428
Pr 0.498 5.046 7.324
Pr 5.825 6.582 0.434
Pr 5.510 3.172 -0.462
Nd 1.614 7.461 5.020
Nd 4.730 4.199 2.885
Nd -0.462 4.188 -1.436
Nd 4.394 0.758 1.842
Nd 1.279 4.020 3.977
Er 1.785 0.000 -0.574
Er 5.107 0.000 -1.642
CELL_PARAMETERS angstrom
6.892 0.000 -2.216
-0.923 8.376 -2.872
0.040 -0.158 11.950

Record 2
! PBE Mn4Fe5N, optimized geometry; values from VASP
! - ρ (kg/m³) = 7558
! - uncorrected energy (eV per atom) = -8.5303
! - raw formation energy (kJ per mole of atoms) = 19
! - spin magnetization (μB/f.u.) = 8.72
! - space-group type = Immm
&SYSTEM
  ibrav = 0, nat = 10, ntyp = 3
/
ATOMIC_SPECIES
Mn 54.94 Mn.upf
Fe 55.84 Fe.upf
N 14.01 N.upf
ATOMIC_POSITIONS angstrom
Mn -0.029 5.620 6.154
Mn -0.039 2.754 6.183
Mn 0.930 2.875 3.489
Mn 0.941 5.741 3.460
Fe 1.741 4.248 5.286
Fe 0.737 4.216 8.076
Fe 1.762 1.283 5.228
Fe 1.720 7.213 5.344
Fe 2.746 4.279 2.496
N 1.936 0.000 0.697
CELL_PARAMETERS angstrom
2.581 0.000 0.929
0.599 6.665 2.385
-0.988 1.830 6.793

Record 3
! PBE TeIrN2F, optimized geometry; values from VASP
! - ρ (kg/m³) = 9134
! - uncorrected energy (eV per atom) = -5.3428
! - raw formation energy (kJ per mole of atoms) = 74
! - spin magnetization (μB/f.u.) = 0.01
! - space-group type = P4/mmm
! - excess energy over the best structure of this formula in the dataset (eV/atom) = 0.296
&SYSTEM
  ibrav = 0, nat = 5, ntyp = 4
/
ATOMIC_SPECIES
N 14.01 N.upf
Te 127.60 Te.upf
F 19.00 F.upf
Ir 192.22 Ir.upf
ATOMIC_POSITIONS angstrom
N -1.360 -1.145 0.895
N -1.452 1.016 -0.907
Te -2.880 1.217 1.605
F -0.068 1.346 1.617
Ir 0.000 0.000 0.000
CELL_PARAMETERS angstrom
-2.903 2.031 -1.813
-2.720 -2.289 1.790
-0.137 2.692 3.234

Record 4
! PBE TbInH, optimized geometry; values from VASP
! - ρ (kg/m³) = 7651
! - uncorrected energy (eV per atom) = -3.7750
! - spin magnetization (μB/f.u.) = 0.17
! - space-group type = I4mm
! - excess energy over the best structure of this formula in the dataset (eV/atom) = 0.317
&SYSTEM
  ibrav = 0, nat = 3, ntyp = 3
/
ATOMIC_SPECIES
H 1.01 H.upf
In 114.82 In.upf
Tb 158.93 Tb.upf
ATOMIC_POSITIONS angstrom
H 0.000 0.000 3.096
In 0.000 0.000 0.069
Tb 1.598 1.598 2.675
CELL_PARAMETERS angstrom
3.195 0.000 0.000
0.000 3.195 0.000
-1.598 -1.598 5.840

Record 5
! PBE Li8CdPd2, optimized geometry; values from VASP
! - ρ (kg/m³) = 3586
! - uncorrected energy (eV per atom) = -2.6794
! - spin magnetization (μB/f.u.) = 0.00
! - space-group type = C2/m
! - excess energy over the best structure of this formula in the dataset (eV/atom) = 0.000
&SYSTEM
  ibrav = 0, nat = 11, ntyp = 3
/
ATOMIC_SPECIES
Li 6.94 Li.upf
Pd 106.42 Pd.upf
Cd 112.41 Cd.upf
ATOMIC_POSITIONS angstrom
Li -2.795 -2.044 -4.235
Li -3.451 -1.339 0.736
Li -5.533 -0.857 -1.052
Li -3.067 -2.965 -1.398
Li -1.115 -1.207 -0.658
Li -0.459 -1.912 -5.629
Li -0.843 -0.286 -3.495
Li 1.623 -2.395 -3.841
Pd -0.770 -2.849 -2.783
Pd -3.141 -0.403 -2.110
Cd -0.888 1.551 -1.342
CELL_PARAMETERS angstrom
-1.776 3.103 -2.685
2.959 -3.135 -5.580
-5.093 -3.219 3.372

Record 6
! PBE NaSc2MoPd, optimized geometry; values from VASP
! - ρ (kg/m³) = 4099
! - uncorrected energy (eV per atom) = -5.2482
! - spin magnetization (μB/f.u.) = 3.64
! - space-group type = P4/mmm
&SYSTEM
  ibrav = 0, nat = 5, ntyp = 4
/
ATOMIC_SPECIES
Sc 44.96 Sc.upf
Na 22.99 Na.upf
Mo 95.94 Mo.upf
Pd 106.42 Pd.upf
ATOMIC_POSITIONS angstrom
Sc -1.750 -1.514 0.980
Sc -0.066 -1.310 -2.143
Na 1.813 -1.527 0.878
Mo -0.002 -4.352 -0.285
Pd 0.000 0.000 0.000
CELL_PARAMETERS angstrom
-0.132 -2.621 -4.286
3.627 -3.055 1.756
-3.500 -3.028 1.959

Record 7
! PBE LiCNO, optimized geometry; values from VASP
! - ρ (kg/m³) = 1796
! - uncorrected energy (eV per atom) = -7.0829
! - raw formation energy (kJ per mole of atoms) = -94
! - spin magnetization (μB/f.u.) = 0.00
! - space-group type = R3m
&SYSTEM
  ibrav = 0, nat = 4, ntyp = 4
/
ATOMIC_SPECIES
Li 6.94 Li.upf
O 16.00 O.upf
N 14.01 N.upf
C 12.01 C.upf
ATOMIC_POSITIONS angstrom
Li 13.271 4.493 2.793
O 5.581 1.890 1.174
N 7.830 2.651 1.648
C 6.720 2.275 1.414
CELL_PARAMETERS angstrom
5.159 0.004 0.002
4.101 3.131 0.002
4.101 1.388 2.807